# 1
## NiAgAu2 (GGA-PBE)

Data for a relaxed NiAgAu2 crystal.

Results
- energy above the lowest structure with this stoichiometry (eV/f.u.) = 0.27

Cell lengths 4.9628, 4.9628, 4.9205 Å; angles 78.66, 78.66, 33.35 degrees
Positions (direct):
Ag: 0.2405 0.2405 0.2545
Ni: 0.4981 0.4981 0.5077
Au: 0.0005 0.0005 0.0050
Au: 0.7610 0.7610 0.7328



# 2
## Ac8Cd2Ge (GGA-PBE)

Data for a relaxed Ac8Cd2Ge crystal.

Cell lengths 5.6248, 7.5249, 10.5914 Å; angles 101.48, 105.40, 90.00 degrees
Positions (direct):
Ac: 0.9818 0.2253 0.9636
Ac: 0.6545 0.9725 0.3089
Ac: 0.4081 0.5501 0.8162
Ac: 0.7902 0.6874 0.5803
Ac: 0.3455 0.0275 0.6911
Ac: 0.0182 0.7747 0.0364
Ac: 0.5919 0.4499 0.1838
Ac: 0.2098 0.3126 0.4197
Cd: 0.8155 0.2599 0.6310
Cd: 0.1845 0.7401 0.3690
Ge: 0.5000 0.0000 0.0000



# 3
## ErPuMnRu (GGA-PBE)

Data for a relaxed ErPuMnRu crystal.

Cell lengths 4.7965, 4.7965, 4.7965 Å; angles 60.00, 60.00, 60.00 degrees
Positions (direct):
Mn: 0.2500 0.2500 0.2500
Pu: 0.0000 0.0000 0.0000
Er: 0.5000 0.5000 0.5000
Ru: 0.7500 0.7500 0.7500



no.,E_form (eV per atom),volume (Å³/cell),DOS at the Fermi energy (states/eV/cell)
1,0.094,65.2,2.8
2,-0.172,422.9,13.8
3,-0.115,78.0,5.7